Density functional theory data (PBE-GGA) for K4AgO after structural relaxation.

Unit cell a=5.3187 b=22.7352 c=7.7109 alpha=90.00 beta=90.00 gamma=90.00
Last column: nearest neighbours and their distance in Å.
Space group Cmc2_1 (No. 36)
Unique sites:
K (0.0000, 0.9998, 0.0000)  2 O 2.77
K (0.0000, 0.1640, 0.0085)  1 O 2.55
K (0.0000, 0.1644, 0.4896)  1 O 2.55
K (0.0000, 0.4232, 0.7496)  2 O 2.67
Ag (0.0000, 0.4133, 0.2494)  11 K 3.72-3.86
O (0.0000, 0.0874, 0.2496)  6 K 2.55-2.77

Output
Crystal system = orthorhombic
Uncorrected formation energy = -0.504 eV per atom

Density functional theory data (PBE-GGA) for BaLiAs3 after structural relaxation.

Unit cell a=5.9193 b=5.9193 c=5.9193 alpha=90.00 beta=90.00 gamma=90.00
Last column: nearest neighbours and their distance in Å.
Space group Pm-3m (No. 221)
Unique sites:
Ba (0.0000, 0.0000, 0.0000)  6 As 2.96
Li (0.5000, 0.5000, 0.5000)  12 As 4.19
As (0.0000, 0.0000, 0.5000)  2 Ba 2.96

Output
Crystal system = cubic
Energy of formation = 78.0 kJ/mol of atoms